Below is crystalline Ac2AlPd4Au2 at its relaxed geometry, with properties calculated at the GGA-PBE level.

Calculated volume in Å³/cell: 194.2
ΔH_f (0 K) in eV per formula unit: -6.82
DOS(E_F) in states/eV/f.u.: 2.34
Mass density in Mg/m³: 11.1

Cell and atoms, written as extended XYZ:
```
9
Lattice="-3.260 3.260 4.568 3.260 -3.260 4.568 3.260 3.260 -4.568" Properties=species:S:1:pos:R:3 pbc="T T T"
Ac 3.260 0.000 2.284
Ac 0.000 3.260 2.284
Al 0.000 0.000 0.000
Pd 1.791 1.791 0.000
Pd 1.469 -1.469 4.568
Pd -1.469 1.469 4.568
Pd 1.469 1.469 4.568
Au 0.000 0.000 2.570
Au 0.000 0.000 6.566
```

***

Below is crystalline AcAl4Pd2Au at its relaxed geometry, with properties calculated at the GGA-PBE level.

Calculated volume in Å³/cell: 156.9
ΔH_f (0 K) in eV per formula unit: -4.99
DOS(E_F) in states/eV/f.u.: 3.28
Mass density in Mg/m³: 7.9

Cell and atoms, written as extended XYZ:
```
8
Lattice="2.170 1.253 9.615 -2.170 1.253 9.615 0.000 -2.506 9.615" Properties=species:S:1:pos:R:3 pbc="T T T"
Ac 0.000 0.000 0.000
Al 0.000 0.000 3.712
Al 0.000 0.000 11.777
Al 0.000 0.000 17.069
Al 0.000 0.000 25.134
Pd 0.000 0.000 6.857
Pd 0.000 0.000 21.989
Au 0.000 0.000 14.423
```

***

Total moment across the listed records, respectively: 0.000, 0.000 μB per atom.